No. 1
First-principles (PBE) data for an optimized crystal structure of BaLiNO2, as listed in Alexandria.

Cell and atoms, written as extended XYZ:
```
5
Lattice="4.159 0.000 0.000 0.000 4.159 0.000 0.000 0.000 4.096" Properties=species:S:1:pos:R:3 pbc="T T T"
Ba 0.000 0.000 0.000
Li 2.080 2.080 2.048
N 2.080 2.080 0.000
O 0.000 2.080 2.048
O 2.080 0.000 2.048
```

Output
- ΔE_f (raw): -469 meV per atom
- E_tot: -24.42 eV per cell
- Space-group type: P4/mmm (123)
- Crystal system: tetragonal
- Calculated volume: 70.85 Å³/f.u.

***

No. 2
First-principles (PBE) data for an optimized crystal structure of SeS3Cl, as listed in Alexandria.

Cell and atoms, written as extended XYZ:
```
5
Lattice="4.811 0.000 0.000 0.000 4.811 0.000 0.000 0.000 4.811" Properties=species:S:1:pos:R:3 pbc="T T T"
Se 0.000 0.000 0.000
S 0.000 0.000 2.405
S 0.000 2.405 0.000
S 2.405 0.000 0.000
Cl 2.405 2.405 2.405
```

Output
- ΔE_f (raw): 936 meV per atom
- E_tot: -13.03 eV per cell
- Space-group type: Pm-3m (221)
- Crystal system: cubic
- Calculated volume: 111.33 Å³/f.u.
- Excess energy over the best structure of this formula in the dataset: 880 meV per atom

***

No. 3
First-principles (PBE) data for an optimized crystal structure of Cs3TiSe4, as listed in Alexandria.

Cell and atoms, written as extended XYZ:
```
8
Lattice="-3.046 7.313 3.814 3.046 -7.313 3.814 3.046 7.313 -3.814" Properties=species:S:1:pos:R:3 pbc="T T T"
Cs 0.000 0.000 0.000
Cs 3.046 -3.141 2.279
Cs 3.046 3.141 2.279
Ti 0.000 7.313 1.296
Se 1.630 7.313 -0.469
Se 1.416 0.000 3.345
Se 0.000 5.292 2.595
Se 0.000 9.334 2.595
```

Output
- ΔE_f (raw): -1151 meV per atom
- E_tot: -33.60 eV per cell
- Space-group type: Imm2 (44)
- Crystal system: orthorhombic
- Calculated volume: 339.84 Å³/f.u.

***

No. 4
First-principles (PBE) data for an optimized crystal structure of Ba2CeTl, as listed in Alexandria.

Cell and atoms, written as extended XYZ:
```
4
Lattice="1.967 1.136 12.981 -1.967 1.136 12.981 0.000 -2.272 12.981" Properties=species:S:1:pos:R:3 pbc="T T T"
Ba 0.000 0.000 3.713
Ba 0.000 0.000 35.230
Ce 0.000 0.000 0.000
Tl 0.000 0.000 19.472
```

Output
- E_tot: -11.18 eV per cell
- Space-group type: R-3m (166)
- Crystal system: trigonal
- Calculated volume: 174.05 Å³/f.u.
- Formation energy from the elements: 242.4 meV per atom

***

No. 5
First-principles (PBE) data for an optimized crystal structure of Sc4MnTc, as listed in Alexandria.

Cell and atoms, written as extended XYZ:
```
6
Lattice="0.000 3.918 3.918 3.918 0.000 3.918 3.918 3.918 0.000" Properties=species:S:1:pos:R:3 pbc="T T T"
Sc 0.973 0.973 0.973
Sc 2.945 2.945 0.973
Sc 2.945 0.973 2.945
Sc 0.973 2.945 2.945
Mn 3.918 3.918 3.918
Tc 5.877 5.877 5.877
```

Output
- E_tot: -41.03 eV per cell
- Space-group type: F-43m (216)
- Crystal system: cubic
- Calculated volume: 120.26 Å³/f.u.
- Excess energy over the best structure of this formula in the dataset: 724 meV per atom
- Formation energy from the elements: 638.3 meV per atom

***

No. 6
First-principles (PBE) data for an optimized crystal structure of BePb4Br, as listed in Alexandria.

Cell and atoms, written as extended XYZ:
```
6
Lattice="0.000 4.577 4.577 4.577 0.000 4.577 4.577 4.577 0.000" Properties=species:S:1:pos:R:3 pbc="T T T"
Be 0.000 0.000 0.000
Pb 3.424 3.424 3.424
Pb 5.730 5.730 3.424
Pb 5.730 3.424 5.730
Pb 3.424 5.730 5.730
Br 6.866 6.866 6.866
```

Output
- ΔE_f (raw): 526 meV per atom
- E_tot: -17.07 eV per cell
- Space-group type: F-43m (216)
- Crystal system: cubic
- Calculated volume: 191.79 Å³/f.u.

***

No. 7
First-principles (PBE) data for an optimized crystal structure of Tl16SnPb12, as listed in Alexandria.

Cell and atoms, written as extended XYZ:
```
29
Lattice="6.138 -8.815 0.000 6.138 8.815 0.000 -5.983 0.000 8.538" Properties=species:S:1:pos:R:3 pbc="T T T"
Tl 0.000 0.000 0.000
Tl -2.077 5.198 8.142
Tl -3.843 0.000 5.516
Tl 0.513 2.742 2.049
Tl -1.682 3.010 5.472
Tl 3.970 3.582 2.853
Tl 0.513 -2.742 2.049
Tl 1.734 2.470 5.522
Tl -1.682 -3.010 5.472
Tl 6.622 2.791 0.425
Tl 2.813 0.000 3.158
Tl -2.077 -5.198 8.142
Tl 1.734 -2.470 5.522
Tl 6.249 0.000 2.490
Tl 3.970 -3.582 2.853
Tl 6.622 -2.791 0.425
Sn 2.948 0.000 7.904
Pb 1.149 5.478 3.847
Pb -0.435 0.000 3.910
Pb 3.372 1.658 0.174
Pb 1.212 5.543 7.137
Pb 3.372 -1.658 0.174
Pb -0.190 0.000 7.129
Pb 1.149 -5.478 3.847
Pb 4.957 1.605 5.540
Pb 9.501 1.659 2.196
Pb 4.957 -1.605 5.540
Pb 1.212 -5.543 7.137
Pb 9.501 -1.659 2.196
```

Output
- E_tot: -86.17 eV per cell
- Space-group type: Cm (8)
- Crystal system: monoclinic
- Calculated volume: 923.90 Å³/f.u.
- Formation energy from the elements: 6.8 meV per atom

***

No. 8
First-principles (PBE) data for an optimized crystal structure of Hf2TiHRu, as listed in Alexandria.

Cell and atoms, written as extended XYZ:
```
5
Lattice="4.612 0.000 0.000 0.000 4.612 0.000 0.000 0.000 3.502" Properties=species:S:1:pos:R:3 pbc="T T T"
Hf 0.000 2.306 0.000
Hf 2.306 0.000 0.000
Ti 0.000 0.000 1.751
H 0.000 0.000 0.000
Ru 2.306 2.306 1.751
```

Output
- E_tot: -41.98 eV per cell
- Space-group type: P4/mmm (123)
- Crystal system: tetragonal
- Calculated volume: 74.50 Å³/f.u.